VASP calculation (PBE) on an optimized crystal structure of NpH5Rh. Values from VASP.

Output
Crystal system: orthorhombic
ρ, g/cm3: 9.46

Geometry as Quantum ESPRESSO input:
```
&SYSTEM
  ibrav = 0, nat = 14, ntyp = 3
/
ATOMIC_SPECIES
H 1.01 H.upf
Np 237.00 Np.upf
Rh 102.91 Rh.upf
CELL_PARAMETERS angstrom
4.2673 0.6487 1.2898
1.0898 4.1764 1.2898
1.0439 0.9402 7.5808
ATOMIC_POSITIONS angstrom
H 1.6249 2.9696 5.2858
H 4.7760 2.7958 4.8746
H 3.8001 4.9288 8.6650
H 4.5281 0.8839 3.1850
H 1.1006 2.4997 1.4963
H 2.6008 0.8366 1.4954
H 5.3003 3.2657 8.6642
H 1.8728 4.8815 6.9754
H 3.1227 1.3043 5.2867
H 3.2782 4.4611 4.8737
Np 3.4615 3.1177 6.9754
Np 2.9394 2.6477 3.1850
Rh 0.0000 0.0000 0.0000
Rh 0.5219 0.4701 3.7904
```



VASP calculation (PBE) on an optimized crystal structure of NpH4Rh3. Values from VASP.

Output
Crystal system: tetragonal
ρ, g/cm3: 11.90

Geometry as Quantum ESPRESSO input:
```
&SYSTEM
  ibrav = 0, nat = 8, ntyp = 3
/
ATOMIC_SPECIES
H 1.01 H.upf
Rh 102.91 Rh.upf
Np 237.00 Np.upf
CELL_PARAMETERS angstrom
3.9590 0.0038 -1.7551
-0.7811 3.8812 -1.7550
-0.1044 -0.1278 5.1076
ATOMIC_POSITIONS angstrom
H 0.8465 1.0348 1.9118
H 2.2270 2.7224 -0.3142
H 1.0940 3.7553 2.4751
H 3.4640 1.8166 2.4751
Rh 1.5890 1.9425 -1.7550
Rh 0.3517 2.8480 0.7988
Rh 2.7218 0.9092 0.7988
Np 0.0000 0.0000 0.0000
```



| no. | raw total energy (Ha/atom) |
| --- | --- |
| 1 | -0.2017 |
| 2 | -0.2262 |